Density functional theory data (PBE) for a relaxed structure of Na2In3Ag.

a b c (Å): 3.384 5.042 8.774
angles (deg): 90.00 90.00 90.00
Atoms (fractional coordinates):
Na1 0.000 0.000 0.000
Na2 0.000 0.500 0.480
In1 0.500 0.000 0.646
In2 0.500 0.500 0.164
In3 0.500 0.500 0.824
Ag1 0.500 0.000 0.319

Summary:
**Total energy**: -2.39 eV per atom
**Polymorph energy (0 for the lowest one)**: 0.00 kJ per mole of atoms
**SG**: No. 25
**DFT formation energy**: -104 meV per atom